DFT (PBE-GGA) results for an optimized crystal structure of Ce3PrC.

Values from the calculation:
- ΔH_f (0 K) (eV/atom) = 0.00
- theoretical density (Mg/m³) = 7.42

a b c (Å): 5.044 5.044 5.044
angles (deg): 90.00 90.00 90.00
Space group Pm-3m (No. 221)
Asymmetric unit:
Ce: 0.000 0.000 0.500 (multiplicity 3)
Pr: 0.500 0.500 0.500 (multiplicity 1)
C: 0.000 0.000 0.000 (multiplicity 1)



DFT (PBE-GGA) results for an optimized crystal structure of Ce4Pr2C.

Values from the calculation:
- ΔH_f (0 K) (eV/atom) = 0.15
- theoretical density (Mg/m³) = 6.88

a b c (Å): 4.958 4.958 16.774
angles (deg): 90.00 90.00 90.00
Space group I4/mmm (No. 139)
Asymmetric unit:
Ce: 0.000 0.000 0.142 (multiplicity 4)
Ce: 0.000 0.500 0.000 (multiplicity 4)
Pr: 0.000 0.000 0.339 (multiplicity 4)
C: 0.000 0.000 0.000 (multiplicity 2)



DFT (PBE-GGA) results for an optimized crystal structure of CePrC.

Values from the calculation:
- ΔH_f (0 K) (eV/atom) = 0.08
- relative energy among the computed polymorphs (eV/atom) = 0.178
- theoretical density (Mg/m³) = 6.99

a b c (Å): 12.841 3.474 16.060
angles (deg): 90.00 103.63 90.00
Space group Cm (No. 8)
Asymmetric unit:
Ce: 0.000 0.000 0.000 (multiplicity 2)
Ce: 0.014 0.500 0.813 (multiplicity 2)
Ce: 0.112 0.000 0.183 (multiplicity 2)
Ce: 0.389 0.000 0.592 (multiplicity 2)
Ce: 0.406 0.500 0.408 (multiplicity 2)
Pr: 0.139 0.000 0.585 (multiplicity 2)
Pr: 0.172 0.000 0.389 (multiplicity 2)
Pr: 0.240 0.500 0.000 (multiplicity 2)
Pr: 0.272 0.500 0.814 (multiplicity 2)
Pr: 0.351 0.000 0.218 (multiplicity 2)
C: 0.012 0.500 0.497 (multiplicity 2)
C: 0.121 0.000 0.897 (multiplicity 2)
C: 0.226 0.500 0.276 (multiplicity 2)
C: 0.284 0.500 0.510 (multiplicity 2)
C: 0.393 0.000 0.911 (multiplicity 2)



DFT (PBE-GGA) results for an optimized crystal structure of CePrC.

Values from the calculation:
- ΔH_f (0 K) (eV/atom) = 0.27
- relative energy among the computed polymorphs (eV/atom) = 0.365
- theoretical density (Mg/m³) = 7.38

a b c (Å): 3.246 3.246 12.520
angles (deg): 90.00 90.00 90.00
Space group I4mm (No. 107)
Asymmetric unit:
Ce: 0.000 0.000 0.000 (multiplicity 2)
Pr: 0.000 0.000 0.228 (multiplicity 2)
C: 0.000 0.000 0.600 (multiplicity 2)



DFT (PBE-GGA) results for an optimized crystal structure of CePr3C.

Values from the calculation:
- ΔH_f (0 K) (eV/atom) = 0.22
- theoretical density (Mg/m³) = 6.49

a b c (Å): 5.278 5.278 5.278
angles (deg): 90.00 90.00 90.00
Space group Pm-3m (No. 221)
Asymmetric unit:
Ce: 0.000 0.000 0.000 (multiplicity 1)
Pr: 0.000 0.500 0.500 (multiplicity 3)
C: 0.500 0.500 0.500 (multiplicity 1)



DFT (PBE-GGA) results for an optimized crystal structure of CePr3C8.

Values from the calculation:
- ΔH_f (0 K) (eV/atom) = 0.18
- theoretical density (Mg/m³) = 5.21

a b c (Å): 10.296 10.307 7.923
angles (deg): 90.00 90.00 90.00
Space group Fmm2 (No. 42)
Asymmetric unit:
Ce: 0.000 0.000 0.000 (multiplicity 4)
Pr: 0.000 0.000 0.500 (multiplicity 4)
Pr: 0.250 0.250 0.250 (multiplicity 8)
C: 0.000 0.162 0.773 (multiplicity 8)
C: 0.000 0.235 0.367 (multiplicity 8)
C: 0.162 0.000 0.228 (multiplicity 8)
C: 0.235 0.000 0.634 (multiplicity 8)



DFT (PBE-GGA) results for an optimized crystal structure of Ce3PrC8.

Values from the calculation:
- ΔH_f (0 K) (eV/atom) = 0.13
- theoretical density (Mg/m³) = 5.57

a b c (Å): 9.801 9.814 8.151
angles (deg): 90.00 90.00 90.00
Space group Fmm2 (No. 42)
Asymmetric unit:
Ce: 0.000 0.000 0.000 (multiplicity 4)
Ce: 0.250 0.250 0.251 (multiplicity 8)
Pr: 0.000 0.000 0.500 (multiplicity 4)
C: 0.000 0.167 0.756 (multiplicity 8)
C: 0.000 0.244 0.134 (multiplicity 8)
C: 0.168 0.000 0.244 (multiplicity 8)
C: 0.243 0.000 0.865 (multiplicity 8)



DFT (PBE-GGA) results for an optimized crystal structure of CePrC4.

Values from the calculation:
- ΔH_f (0 K) (eV/atom) = -0.11
- theoretical density (Mg/m³) = 5.76

a b c (Å): 3.837 3.837 6.444
angles (deg): 90.00 90.62 90.00
Space group P2/m (No. 10)
Asymmetric unit:
Ce: 0.000 0.000 0.000 (multiplicity 1)
Pr: 0.500 0.500 0.500 (multiplicity 1)
C: 0.000 0.000 0.399 (multiplicity 2)
C: 0.497 0.500 0.101 (multiplicity 2)